Entry 1:
A plane-wave DFT calculation with PBE was carried out for crystalline PaBi2S6 at its relaxed geometry.

Results
- symmetry = No. 38
- DFT total energy (eV per atom) = -5.329
- polymorph energy (0 for the lowest one) (eV per formula unit) = 0.000
- formation energy without anion corrections (eV per formula unit) = -5.9

Cell: 4.0591 7.3078 7.7578 Å, 118.10 90.00 90.00°
Fractional positions:
Bi 0.0000 0.6245 0.3266
Pa 0.5000 0.9922 0.0000
S 0.5000 0.6205 0.0000
S 0.0000 0.0157 0.2472
S 0.5000 0.3998 0.3752
S 0.0000 0.7685 0.7528
Bi 0.0000 0.2980 0.6734
S 0.0000 0.2565 0.0000
S 0.5000 0.0245 0.6248

***

Entry 2:
A plane-wave DFT calculation with PBE was carried out for crystalline FeTePb2 at its relaxed geometry.

Results
- symmetry = No. 99
- DFT total energy (eV per atom) = -4.534
- formation energy without anion corrections (eV per formula unit) = 0.9

Cell: 3.3098 3.3098 9.1167 Å, 90.00 90.00 90.00°
Each line ends with the local moment (μB).
Fractional positions:
Fe 0.5000 0.5000 0.7168  1.56
Pb 0.5000 0.5000 0.2600  0.01
Te 0.0000 0.0000 0.5806  -0.08
Pb 0.0000 0.0000 0.9426  -0.03

***

Entry 3:
A plane-wave DFT calculation with PBE was carried out for crystalline HRhO2 at its relaxed geometry.

Results
- symmetry = No. 123
- DFT total energy (eV per atom) = -4.535

Cell: 5.0580 5.0580 4.4307 Å, 55.19 55.19 90.00°
Fractional positions:
H 0.7500 0.7500 0.5000
O 0.7500 0.7500 0.0000
Rh 0.2500 0.7500 0.5000
H 0.2500 0.2500 0.5000
O 0.2500 0.2500 0.0000
O 0.7500 0.2500 0.0000
O 0.2500 0.7500 0.0000
Rh 0.7500 0.2500 0.5000